A geometry-optimized Tm2MnGa3Ni12 structure, computed with PBE.

## Properties
- Space group: No. 166
- Calculated formation energy: 0.012 eV/atom
- Calculated total energy: -5.3530 eV per atom
- Spin magnetization: 4.69 μB per formula unit

Lattice parameters (Å, degrees): 9.146 9.146 9.146 38.34 38.34 38.34
Element x y z (fractional)
Tm (0.149, 0.149, 0.149)
Tm (0.851, 0.851, 0.851)
Mn (0.500, 0.500, 0.500)
Ga (0.000, 0.500, 0.500)
Ga (0.500, 0.000, 0.500)
Ga (0.500, 0.500, 0.000)
Ni (0.081, 0.081, 0.688)
Ni (0.081, 0.688, 0.081)
Ni (0.137, 0.580, 0.580)
Ni (0.312, 0.919, 0.919)
Ni (0.420, 0.420, 0.863)
Ni (0.420, 0.863, 0.420)
Ni (0.580, 0.137, 0.580)
Ni (0.580, 0.580, 0.137)
Ni (0.688, 0.081, 0.081)
Ni (0.863, 0.420, 0.420)
Ni (0.919, 0.312, 0.919)
Ni (0.919, 0.919, 0.312)